No. 1
The following is a PBE-GGA calculation of crystalline SrZrRu2 at its relaxed geometry, from Alexandria via LeMat-Bulk.

Summary:
formation enthalpy at 0 K	0.305	eV/atom
SG	No. 44
density of states at the Fermi level	0.682	states/eV/atom

POSCAR file:
```
SrZrRu2
1.0
5.960 0.006 0.002
3.093 5.094 -0.002
-3.940 -3.590 2.665
Sr Ru Zr
1 2 1
Direct
0.508 0.508 0.000 Sr
0.988 0.988 0.000 Ru
0.785 0.285 0.500 Ru
0.220 0.720 0.500 Zr
```


No. 2
The following is a PBE-GGA calculation of crystalline NaPr5O8 at its relaxed geometry, from Alexandria via LeMat-Bulk.

Summary:
calculated total energy	-0.562	Ry per atom
SG	No. 82
density of states at the Fermi level	0.000	states/eV/atom

POSCAR file:
```
NaPr5O8
1.0
-1.436 0.964 -6.211
-4.680 -3.497 2.726
0.482 5.641 3.084
O Pr Na
8 5 1
Direct
0.641 0.382 0.878 O
0.127 0.756 0.022 O
0.265 0.244 0.371 O
0.122 0.763 0.503 O
0.740 0.237 0.359 O
0.629 0.895 0.873 O
0.978 0.105 0.735 O
0.497 0.618 0.260 O
0.022 0.389 0.128 Pr
0.739 0.611 0.633 Pr
0.500 0.000 0.500 Pr
0.872 0.894 0.261 Pr
0.367 0.106 0.978 Pr
0.250 0.500 0.750 Na
```


No. 3
The following is a PBE-GGA calculation of crystalline PmAg2PtO4 at its relaxed geometry, from Alexandria via LeMat-Bulk.

Summary:
calculated total energy	-0.405	Ry per atom
SG	No. 71
density of states at the Fermi level	0.611	states/eV/atom

POSCAR file:
```
PmAg2PtO4
1.0
-3.070 0.020 -5.496
-2.626 -4.581 -2.155
-5.583 1.062 -0.483
Ag Pm Pt O
2 1 1 4
Direct
0.500 0.214 0.786 Ag
0.500 0.786 0.214 Ag
0.000 0.000 0.000 Pm
0.000 0.500 0.500 Pt
0.198 0.524 0.080 O
0.198 0.080 0.524 O
0.802 0.920 0.476 O
0.802 0.476 0.920 O
```


No. 4
The following is a PBE-GGA calculation of crystalline KCdMo2 at its relaxed geometry, from Alexandria via LeMat-Bulk.

Summary:
formation enthalpy at 0 K	1.356	eV/atom
SG	No. 122
density of states at the Fermi level	0.882	states/eV/atom

POSCAR file:
```
KCdMo2
1.0
-3.665 -0.281 -1.814
-1.660 -1.223 3.543
-4.767 9.727 3.496
K Mo Cd
2 4 2
Direct
0.500 0.500 0.000 K
0.250 0.750 0.500 K
0.046 0.625 0.250 Mo
0.875 0.954 0.750 Mo
0.704 0.125 0.250 Mo
0.375 0.296 0.750 Mo
0.000 0.000 0.000 Cd
0.750 0.250 0.500 Cd
```


No. 5
The following is a PBE-GGA calculation of crystalline Zr2NiPb at its relaxed geometry, from Alexandria via LeMat-Bulk.

Summary:
formation enthalpy at 0 K	-0.190	eV/atom
SG	No. 123
density of states at the Fermi level	1.346	states/eV/atom

POSCAR file:
```
Zr2NiPb
1.0
3.145 0.030 0.000
-0.027 3.145 0.000
0.000 0.000 8.199
Zr Pb Ni
2 1 1
Direct
0.000 0.000 0.044 Zr
0.000 0.000 0.456 Zr
0.500 0.500 0.750 Pb
0.500 0.500 0.250 Ni
```


No. 6
The following is a PBE-GGA calculation of crystalline Ac2SmAl at its relaxed geometry, from Alexandria via LeMat-Bulk.

Summary:
formation enthalpy at 0 K	-0.069	eV/atom
energy above the lowest structure with this stoichiometry	0.0000	eV/atom
SG	No. 123
density of states at the Fermi level	1.005	states/eV/atom

POSCAR file:
```
Ac2SmAl
1.0
-0.337 -3.694 1.350
3.928 -0.249 0.299
-0.447 3.149 8.506
Ac Al Sm
2 1 1
Direct
0.000 0.000 0.789 Ac
0.000 0.000 0.211 Ac
0.500 0.500 0.000 Al
0.500 0.500 0.500 Sm
```


No. 7
The following is a PBE-GGA calculation of crystalline EuScIr4 at its relaxed geometry, from Alexandria via LeMat-Bulk.

Summary:
formation enthalpy at 0 K	-0.580	eV/atom
SG	No. 216
density of states at the Fermi level	1.948	states/eV/atom

POSCAR file:
```
EuScIr4
1.0
-4.106 -3.047 -1.504
-0.421 -4.992 1.820
-3.818 -1.246 3.504
Ir Sc Eu
4 1 1
Direct
0.625 0.625 0.126 Ir
0.126 0.625 0.625 Ir
0.625 0.625 0.625 Ir
0.625 0.126 0.625 Ir
0.250 0.250 0.250 Sc
0.000 0.000 0.000 Eu
```


No. 8
The following is a PBE-GGA calculation of crystalline LiGaHg2Te at its relaxed geometry, from Alexandria via LeMat-Bulk.

Summary:
calculated total energy	-0.120	Ry per atom
SG	No. 123
density of states at the Fermi level	0.311	states/eV/atom

POSCAR file:
```
LiGaHg2Te
1.0
-3.039 3.412 -1.960
-0.998 -3.247 -4.106
-3.823 -1.975 2.491
Li Te Hg Ga
1 1 2 1
Direct
0.000 0.000 0.000 Li
0.500 0.500 0.500 Te
0.000 0.000 0.500 Hg
0.500 0.000 0.000 Hg
0.000 0.500 0.000 Ga
```


No. 9
The following is a PBE-GGA calculation of crystalline Ac7LaMg4 at its relaxed geometry, from Alexandria via LeMat-Bulk.

Summary:
formation enthalpy at 0 K	0.135	eV/atom
SG	No. 12
density of states at the Fermi level	1.099	states/eV/atom

POSCAR file:
```
Ac7LaMg4
1.0
6.312 0.000 0.000
3.156 9.295 1.193
3.156 1.273 8.062
Ac Mg La
7 4 1
Direct
0.081 0.580 0.258 Ac
0.259 0.706 0.777 Ac
0.919 0.420 0.742 Ac
0.741 0.294 0.223 Ac
0.193 0.126 0.488 Ac
0.500 0.000 0.000 Ac
0.807 0.874 0.512 Ac
0.325 0.345 0.006 Mg
0.469 0.689 0.374 Mg
0.675 0.655 0.994 Mg
0.531 0.311 0.626 Mg
0.000 0.000 0.000 La
```


No. 10
The following is a PBE-GGA calculation of crystalline RbAg2Bi2 at its relaxed geometry, from Alexandria via LeMat-Bulk.

Summary:
formation enthalpy at 0 K	0.004	eV/atom
energy above the lowest structure with this stoichiometry	0.1119	eV/atom
SG	No. 127
density of states at the Fermi level	0.331	states/eV/atom

POSCAR file:
```
RbAg2Bi2
1.0
-4.411 7.906 2.339
1.145 -2.040 9.053
2.898 1.617 -0.002
Ag Rb Bi
4 2 4
Direct
0.844 0.344 0.500 Ag
0.656 0.844 0.500 Ag
0.344 0.156 0.500 Ag
0.156 0.656 0.500 Ag
0.000 0.000 0.000 Rb
0.500 0.500 0.000 Rb
0.136 0.364 0.000 Bi
0.636 0.136 0.000 Bi
0.864 0.636 0.000 Bi
0.364 0.864 0.000 Bi
```


No. 11
The following is a PBE-GGA calculation of crystalline YScSb3 at its relaxed geometry, from Alexandria via LeMat-Bulk.

Summary:
energy above the lowest structure with this stoichiometry	0.0000	eV/atom
SG	No. 221
density of states at the Fermi level	1.114	states/eV/atom

POSCAR file:
```
YScSb3
1.0
5.416 0.000 0.000
0.000 5.416 0.000
0.000 0.000 5.416
Sb Sc Y
3 1 1
Direct
0.500 0.000 0.000 Sb
0.000 0.000 0.500 Sb
0.000 0.500 0.000 Sb
0.000 0.000 0.000 Sc
0.500 0.500 0.500 Y
```


No. 12
The following is a PBE-GGA calculation of crystalline SbRhPbO6 at its relaxed geometry, from Alexandria via LeMat-Bulk.

Summary:
calculated total energy	-0.444	Ry per atom
SG	No. 163
density of states at the Fermi level	0.731	states/eV/atom

POSCAR file:
```
SbRhPbO6
1.0
-5.066 -1.616 0.078
3.663 -2.596 2.850
-1.785 5.966 7.727
O Pb Rh Sb
12 2 2 2
Direct
0.997 0.629 0.862 O
0.629 0.997 0.362 O
0.632 0.629 0.638 O
0.003 0.632 0.362 O
0.997 0.368 0.638 O
0.368 0.371 0.362 O
0.632 0.003 0.862 O
0.371 0.003 0.638 O
0.368 0.997 0.138 O
0.629 0.632 0.138 O
0.003 0.371 0.138 O
0.371 0.368 0.862 O
0.000 0.000 0.500 Pb
0.000 0.000 0.000 Pb
0.667 0.333 0.750 Rh
0.333 0.667 0.250 Rh
0.667 0.333 0.250 Sb
0.333 0.667 0.750 Sb
```


Which of these has the lowest density of states at the Fermi level?
NaPr5O8